No. 1
Density functional theory data (PBE-GGA) for a relaxed CsCeThS4 crystal.

Lattice parameters (Å, degrees): 8.8211 8.8211 8.8211 120.62 119.30 90.08
Last column: nearest neighbours and their distance in Å.
Fractional positions:
Cs 0.3754 0.1254 0.2500  4 S 3.21-3.23
Cs 0.6246 0.8746 0.7500  4 S 3.21-3.23
Ce 0.0000 0.5000 0.5000  6 S 2.88-2.92
Ce 0.5000 0.5000 0.0000  6 S 2.88-2.92
Th 0.0000 0.0000 0.5000  6 S 2.79-2.82
Th 0.0000 0.5000 0.0000  6 S 2.79-2.82
S 0.1799 0.7312 0.4486  2 Th 2.82, 1 Ce 2.92
S 0.2174 0.2688 0.9486  2 Th 2.82, 1 Ce 2.92
S 0.2214 0.2661 0.5447  1 Th 2.79, 2 Ce 2.88
S 0.2214 0.6767 0.9553  1 Th 2.79, 2 Ce 2.88
S 0.7786 0.3233 0.0447  1 Th 2.79, 2 Ce 2.88
S 0.7786 0.7339 0.4553  1 Th 2.79, 2 Ce 2.88
S 0.7826 0.7312 0.0514  2 Th 2.82, 1 Ce 2.92
S 0.8201 0.2688 0.5514  2 Th 2.82, 1 Ce 2.92

Formation energy without anion corrections ... -1.7871 eV per atom
DFT total energy ... -6.18 eV per atom

***

No. 2
Density functional theory data (PBE-GGA) for a relaxed Cs4Ce3TiS8 crystal.

Lattice parameters (Å, degrees): 8.2100 8.2100 8.2028 90.00 90.00 120.00
Last column: nearest neighbours and their distance in Å.
Fractional positions:
Cs 0.0000 0.0000 0.0000  6 S 3.46
Cs 0.0000 0.5000 0.0000  6 S 3.47-3.61
Cs 0.5000 0.0000 0.0000  6 S 3.47-3.61
Cs 0.5000 0.5000 0.0000  6 S 3.47-3.61
Ce 0.0000 0.5000 0.5000  6 S 2.84
Ce 0.5000 0.0000 0.5000  6 S 2.84
Ce 0.5000 0.5000 0.5000  6 S 2.84
Ti 0.0000 0.0000 0.5000  6 S 2.65
S 0.1563 0.3127 0.6768  1 Ti 2.65, 2 Ce 2.84
S 0.1563 0.8437 0.6768  1 Ti 2.65, 2 Ce 2.84
S 0.3127 0.1563 0.3232  1 Ti 2.65, 2 Ce 2.84
S 0.3333 0.6667 0.3096  3 Ce 2.84
S 0.6667 0.3333 0.6904  3 Ce 2.84
S 0.6873 0.8437 0.6768  1 Ti 2.65, 2 Ce 2.84
S 0.8437 0.1563 0.3232  1 Ti 2.65, 2 Ce 2.84
S 0.8437 0.6873 0.3232  1 Ti 2.65, 2 Ce 2.84

Formation energy without anion corrections ... -1.5580 eV per atom
DFT total energy ... -5.44 eV per atom